Compound: LaICl2
Source: the Alexandria database
Functional: PBE
Structure: optimized geometry

```
LaICl2
1.0
-2.007 -5.288 0.496
2.647 -1.456 -4.808
7.762 -5.745 2.661
La Cl I
2 4 2
Direct
0.000 0.000 0.000
0.750 0.250 0.500
0.375 0.232 0.750
0.982 0.625 0.250
0.875 0.018 0.750
0.768 0.125 0.250
0.500 0.500 0.000
0.250 0.750 0.500
```

Properties
The crystal system is tetragonal. The calculation puts the energy above the most stable polymorph in this dataset at 442 meV per atom. The formation energy without anion corrections is -1645 meV/atom. Its space-group type is I-42d (122).

---

Compound: TlZnRh2
Source: the Alexandria database
Functional: PBE
Structure: optimized geometry

```
TlZnRh2
1.0
-0.030 4.863 -1.793
-2.366 3.426 -3.087
-2.943 2.468 2.572
Tl Zn Rh
1 1 2
Direct
0.508 0.508 0.429
0.738 0.738 0.826
0.996 0.996 0.930
0.258 0.258 0.315
```

Properties
The crystal system is monoclinic. Its formation energy is 0.00 eV/atom. Its space-group type is Cm (8).

---

Compound: BaBi2N2
Source: the Alexandria database
Functional: PBE
Structure: optimized geometry

```
BaBi2N2
1.0
-3.455 -0.952 3.438
-3.352 -0.768 -3.582
-2.029 -6.293 -0.194
N Bi Ba
2 2 1
Direct
0.756 0.756 0.487
0.244 0.244 0.513
0.250 0.750 0.500
0.750 0.250 0.500
0.000 0.000 0.000
```

Properties
The crystal system is tetragonal. The calculation puts the energy above the most stable polymorph in this dataset at 22 meV per atom. The formation energy without anion corrections is 458 meV/atom. Its space-group type is I4/mmm (139).

---

Compound: CaSi
Source: the Alexandria database
Functional: PBE
Structure: optimized geometry

```
CaSi
1.0
-6.694 -1.102 0.922
-0.317 -3.150 -6.070
1.401 -5.978 3.029
Si Ca
4 4
Direct
0.750 0.250 0.750
0.250 0.750 0.750
0.250 0.250 0.250
0.750 0.750 0.250
0.000 0.500 0.500
0.500 0.000 0.500
0.500 0.500 0.000
0.000 0.000 0.000
```

Properties
The crystal system is cubic. The formation energy without anion corrections is 691 meV/atom. Its space-group type is F-43m (216).

---

Compound: Be2Al2V
Source: the Alexandria database
Functional: PBE
Structure: optimized geometry

```
Be2Al2V
1.0
6.609 0.000 0.000
0.000 6.609 0.000
0.000 0.000 2.766
Al Be V
4 4 2
Direct
0.679 0.821 0.500
0.321 0.179 0.500
0.821 0.321 0.500
0.179 0.679 0.500
0.383 0.883 0.000
0.883 0.617 0.000
0.617 0.117 0.000
0.117 0.383 0.000
0.500 0.500 0.000
0.000 0.000 0.000
```

Properties
The crystal system is tetragonal. The calculation puts the energy above the most stable polymorph in this dataset at 0 meV per atom. Its formation energy is 0.04 eV/atom. Its space-group type is P4/mbm (127).

---

Compound: ZrMnSi2
Source: the Alexandria database
Functional: PBE
Structure: optimized geometry

```
ZrMnSi2
1.0
-2.072 -3.219 1.224
2.898 -2.402 -1.410
1.765 0.148 3.377
Zr Mn Si
1 1 2
Direct
0.500 0.000 0.500
0.000 0.500 0.500
0.000 0.000 0.000
0.500 0.500 0.000
```

Properties
The crystal system is tetragonal. The formation energy without anion corrections is -322 meV/atom. Its space-group type is P4/mmm (123).

---

Compound: BeAl3Rh4
Source: the Alexandria database
Functional: PBE
Structure: optimized geometry

```
BeAl3Rh4
1.0
2.955 0.000 0.000
0.000 2.955 0.000
0.000 0.000 11.780
Rh Al Be
4 3 1
Direct
0.000 0.000 0.372
0.000 0.000 0.884
0.000 0.000 0.628
0.000 0.000 0.116
0.500 0.500 0.762
0.500 0.500 0.238
0.500 0.500 0.500
0.500 0.500 0.000
```

Properties
The crystal system is tetragonal. Its formation energy is -1.00 eV/atom. Its space-group type is P4/mmm (123).

---

Compound: LiBe2Pd4
Source: the Alexandria database
Functional: PBE
Structure: optimized geometry

```
LiBe2Pd4
1.0
-3.148 4.523 -1.749
-0.872 -4.215 -3.857
-2.653 -2.147 6.035
Be Pd Li
4 8 2
Direct
0.125 0.375 0.750
0.625 0.875 0.250
0.625 0.375 0.750
0.625 0.375 0.250
0.860 0.626 0.137
0.373 0.140 0.863
0.277 0.510 0.137
0.490 0.723 0.863
0.760 0.027 0.637
0.973 0.240 0.363
0.876 0.610 0.637
0.390 0.123 0.363
0.250 0.750 0.500
0.000 0.000 0.000
```

Properties
The crystal system is orthorhombic. The calculation puts the energy above the most stable polymorph in this dataset at 117 meV per atom. Its formation energy is -0.29 eV/atom. Its space-group type is Fddd (70).

---

Compound: RbThHg2I6
Source: the Alexandria database
Functional: PBE
Structure: optimized geometry

```
RbThHg2I6
1.0
-0.050 8.284 -0.228
-5.559 -4.059 4.606
7.421 -3.945 5.479
Rb I Hg Th
1 6 2 1
Direct
0.976 0.487 0.449
0.139 0.219 0.733
0.070 0.337 0.138
0.528 0.919 0.732
0.815 0.733 0.138
0.827 0.608 0.732
0.419 0.081 0.138
0.622 0.310 0.919
0.603 0.802 0.389
0.967 0.983 0.936
```

Properties
The crystal system is triclinic. The formation energy without anion corrections is -877 meV/atom. Its space-group type is P1 (1).

---

Compound: Fe2SiW
Source: the Alexandria database
Functional: PBE
Structure: optimized geometry

```
Fe2SiW
1.0
4.693 -0.091 0.001
3.712 2.872 0.001
1.730 0.572 3.586
Fe W Si
2 1 1
Direct
0.010 0.010 0.990
0.490 0.490 0.510
0.250 0.250 0.250
0.750 0.750 0.750
```

Properties
The crystal system is orthorhombic. The formation energy without anion corrections is -61 meV/atom. Its space-group type is Immm (71).

---

Compound: Ca4SbAsI2
Source: the Alexandria database
Functional: PBE
Structure: optimized geometry

```
Ca4SbAsI2
1.0
4.514 0.000 0.000
0.000 7.981 -0.203
0.000 2.759 7.348
Ca I As Sb
4 2 1 1
Direct
0.000 0.701 0.754
0.500 0.697 0.278
0.500 0.303 0.722
0.000 0.299 0.246
0.500 0.000 0.500
0.000 0.000 0.000
0.000 0.500 0.500
0.500 0.500 0.000
```

Properties
The crystal system is monoclinic. The formation energy without anion corrections is -1317 meV/atom. Its space-group type is P2/m (10).

---

Compound: Hf4Sb2Au
Source: the Alexandria database
Functional: PBE
Structure: optimized geometry

```
Hf4Sb2Au
1.0
3.661 0.000 0.000
0.000 7.177 0.280
-1.830 -3.248 6.055
Hf Sb Au
4 2 1
Direct
0.387 0.633 0.775
0.093 0.718 0.186
0.613 0.367 0.225
0.907 0.282 0.814
0.228 0.202 0.455
0.772 0.798 0.545
0.000 0.000 0.000
```

Properties
The crystal system is monoclinic. The formation energy without anion corrections is -222 meV/atom. Its space-group type is C2/m (12).

---

Compound: HfCu3Pd6
Source: the Alexandria database
Functional: PBE
Structure: optimized geometry

```
HfCu3Pd6
1.0
-0.602 -1.468 -6.596
3.139 -5.881 1.259
-6.076 -2.680 1.388
Cu Pd Hf
6 12 2
Direct
0.756 0.272 0.872
0.728 0.128 0.244
0.272 0.872 0.756
0.872 0.756 0.272
0.244 0.728 0.128
0.128 0.244 0.728
0.370 0.509 0.852
0.855 0.953 0.624
0.630 0.491 0.148
0.509 0.852 0.370
0.148 0.630 0.491
0.047 0.376 0.145
0.376 0.145 0.047
0.852 0.370 0.509
0.491 0.148 0.630
0.145 0.047 0.376
0.624 0.855 0.953
0.953 0.624 0.855
0.500 0.500 0.500
0.000 0.000 0.000
```

Properties
The crystal system is trigonal. The calculation puts the energy above the most stable polymorph in this dataset at 147 meV per atom. Its formation energy is -0.22 eV/atom. Its space-group type is R-3 (148).

---

Compound: AlHRh2
Source: the Alexandria database
Functional: PBE
Structure: optimized geometry

```
AlHRh2
1.0
-1.156 -4.986 2.838
3.847 -2.822 -3.391
3.297 -3.356 1.482
Rh H Al
4 2 2
Direct
0.212 0.625 0.250
0.875 0.788 0.750
0.538 0.125 0.250
0.375 0.462 0.750
0.250 0.750 0.500
0.500 0.500 0.000
0.750 0.250 0.500
0.000 0.000 0.000
```

Properties
The crystal system is tetragonal. The calculation puts the energy above the most stable polymorph in this dataset at 0 meV per atom. Its space-group type is I-42d (122).

---

Compound: LiThScPd
Source: the Alexandria database
Functional: PBE
Structure: optimized geometry

```
LiThScPd
1.0
-0.524 -0.300 -4.941
3.148 -2.781 -2.672
-1.576 -4.238 -2.083
Sc Th Li Pd
1 1 1 1
Direct
0.250 0.250 0.250
0.750 0.750 0.750
0.000 0.000 0.000
0.500 0.500 0.500
```

Properties
The crystal system is cubic. Its formation energy is -0.25 eV/atom. Its space-group type is F-43m (216).

---

Compound: TbHoBiPb
Source: the Alexandria database
Functional: PBE
Structure: optimized geometry

```
TbHoBiPb
1.0
-0.366 -3.319 2.731
2.175 -3.651 -0.739
6.605 0.415 4.796
Tb Bi Ho Pb
1 1 1 1
Direct
0.446 0.446 0.662
0.195 0.195 0.416
0.942 0.942 0.173
0.693 0.693 0.920
```

Properties
The crystal system is trigonal. Its formation energy is -0.60 eV/atom. Its space-group type is R3m (160).

---

Compound: Tm2TaPt9
Source: the Alexandria database
Functional: PBE
Structure: optimized geometry

```
Tm2TaPt9
1.0
-2.895 -2.099 1.931
-1.588 -1.099 -3.576
7.090 -9.881 -0.112
Pt Tm Ta
9 2 1
Direct
0.000 0.500 0.844
0.000 0.500 0.500
0.500 0.000 0.500
0.500 0.500 0.672
0.500 0.500 0.000
0.000 0.500 0.156
0.500 0.000 0.844
0.500 0.500 0.328
0.500 0.000 0.156
0.000 0.000 0.666
0.000 0.000 0.334
0.000 0.000 0.000
```

Properties
The crystal system is tetragonal. Its formation energy is -0.99 eV/atom. Its space-group type is P4/mmm (123).

---

Compound: Se2IF
Source: the Alexandria database
Functional: PBE
Structure: optimized geometry

```
Se2IF
1.0
-4.697 2.717 3.433
-0.842 5.143 3.750
-3.420 5.435 -0.007
I Se F
1 2 1
Direct
0.000 0.000 0.000
0.158 0.158 0.158
0.842 0.842 0.842
0.500 0.500 0.500
```

Properties
The crystal system is trigonal. The calculation puts the energy above the most stable polymorph in this dataset at 0 meV per atom. The formation energy without anion corrections is -285 meV/atom. Its space-group type is R-3m (166).

---

Compound: MgPt2NCl
Source: the Alexandria database
Functional: PBE
Structure: optimized geometry

```
MgPt2NCl
1.0
-2.209 -1.802 2.769
4.615 -2.333 2.164
0.457 3.133 2.403
Pt Mg N Cl
2 1 1 1
Direct
0.500 0.000 0.000
0.000 0.000 0.500
0.000 0.500 0.000
0.000 0.000 0.000
0.500 0.500 0.500
```

Properties
The crystal system is tetragonal. The formation energy without anion corrections is 30 meV/atom. Its space-group type is P4/mmm (123).

---

Compound: La5Pm2Sc
Source: the Alexandria database
Functional: PBE
Structure: optimized geometry

```
La5Pm2Sc
1.0
-0.509 2.371 -2.713
10.245 -2.439 -4.053
-7.035 -7.278 2.306
Pm La Sc
2 5 1
Direct
0.236 0.745 0.490
0.764 0.255 0.510
0.116 0.644 0.744
0.000 0.500 0.000
0.116 0.099 0.744
0.884 0.356 0.256
0.884 0.901 0.256
0.000 0.000 0.000
```

Properties
The crystal system is monoclinic. Its formation energy is 0.05 eV/atom. Its space-group type is C2/m (12).

---

| no. | calculated volume (Å³/f.u.) |
| --- | --- |
| 1 | 148 |
| 2 | 66 |
| 3 | 138 |
| 4 | 80 |
| 5 | 60 |
| 6 | 62 |
| 7 | 103 |
| 8 | 96 |
| 9 | 524 |
| 10 | 50 |
| 11 | 267 |
| 12 | 162 |
| 13 | 156 |
| 14 | 46 |
| 15 | 87 |
| 16 | 125 |
| 17 | 201 |
| 18 | 106 |
| 19 | 89 |
| 20 | 278 |